# 1
## PmDyMn (PBE)

Data for a relaxed PmDyMn crystal.

a b c (Å): 3.6797 3.2318 13.2443
angles (deg): 97.01 90.00 90.00
With the nearest neighbours (Å) after each atom.
Sites, in units of the cell vectors:
Dy  0.2500  0.0950  0.1900  3 Mn 2.73-2.98
Dy  0.7500  0.9050  0.8100  3 Mn 2.73-2.98
Pm  0.7500  0.6998  0.3995  6 Pm 3.23-3.60
Pm  0.2500  0.3002  0.6005  6 Pm 3.23-3.60
Mn  0.7500  0.0184  0.0369  2 Mn 2.08
Mn  0.2500  0.9816  0.9631  2 Mn 2.08

Summary:
As for the formation energy: 52.0 kJ per mole of atoms.

# 2
## La2SmH (PBE)

Data for a relaxed La2SmH crystal.

a b c (Å): 3.7354 3.7354 9.2398
angles (deg): 78.34 78.34 60.00
With the nearest neighbours (Å) after each atom.
Sites, in units of the cell vectors:
La  0.0550  0.0550  0.8351  3 H 2.61
La  0.2771  0.2771  0.1687  3 H 2.64
Sm  0.5011  0.5011  0.4966  6 La 3.65-3.73, 6 Sm 3.74
H  0.6668  0.6668  0.9996  6 La 2.61-2.64

Summary:
As for the uncorrected energy: -4.646 eV per atom.

# 3
## Cr6C3N (PBE)

Data for a relaxed Cr6C3N crystal.

a b c (Å): 4.8840 4.8840 5.3685
angles (deg): 62.94 62.94 60.00
With the nearest neighbours (Å) after each atom.
Sites, in units of the cell vectors:
C  0.3503  0.3503  0.9491  6 Cr 1.96-2.02
C  0.1602  0.1602  0.5193  6 Cr 1.96-2.01
C  0.6483  0.6483  0.0550  6 Cr 1.96-2.03
Cr  0.0468  0.4240  0.7621  3 C 1.96-2.03, 1 N 2.00
Cr  0.5823  0.2272  0.2368  1 N 1.93, 3 C 1.96-2.02
Cr  0.2272  0.9537  0.2368  1 N 1.93, 3 C 1.96-2.02
Cr  0.9537  0.5823  0.2368  1 N 1.93, 3 C 1.96-2.02
Cr  0.7670  0.0468  0.7621  3 C 1.96-2.03, 1 N 2.00
Cr  0.4240  0.7670  0.7621  3 C 1.96-2.03, 1 N 2.00
N  0.8401  0.8401  0.4798  6 Cr 1.93-2.00

Summary:
Its energy relative to the elements, uncorrected is -136 meV/atom.

| no. | total moment (μB per formula unit) |
| --- | --- |
| 1 | 0.00 |
| 2 | 0.00 |
| 3 | 0.00 |